Entry 1:
A relaxed structure of Li2NiPb. Source: Alexandria, functional PBE.

a = 3.8883 Å, b = 3.8883 Å, c = 8.6478 Å
α = 90.00°, β = 90.00°, γ = 90.00°
With the nearest neighbours (Å) after each atom.
Space group I4/mmm (No. 139)
Inequivalent atoms, fractional coordinates:
Li: 0.0000 0.5000 0.2500 [4 per cell]  4 Li 2.75, 4 Pb 2.91, 4 Ni 2.91
Ni: 0.0000 0.0000 0.0000 [2 per cell]  4 Pb 2.75, 8 Li 2.91
Pb: 0.0000 0.0000 0.5000 [2 per cell]  4 Ni 2.75, 8 Li 2.91

- Calculated total energy: -27.40 eV/cell
- M_tot: 0.0 μB/cell

***

Entry 2:
A relaxed structure of LiNi2Pb. Source: Alexandria, functional PBE.

a = 3.1832 Å, b = 3.1832 Å, c = 22.6462 Å
α = 90.00°, β = 90.00°, γ = 120.00°
With the nearest neighbours (Å) after each atom.
Space group R-3m (No. 166, hexagonal axes)
Inequivalent atoms, fractional coordinates:
Li: 0.0000 0.0000 0.0000 [3 per cell]  6 Ni 2.58
Ni: 0.0000 0.0000 0.2536 [6 per cell]  3 Li 2.58, 3 Pb 2.69
Pb: 0.0000 0.0000 0.5000 [3 per cell]  6 Ni 2.69

- Calculated total energy: -46.15 eV/cell
- M_tot: 0.0 μB/cell

***

Entry 3:
A relaxed structure of LiNi2Pb. Source: Alexandria, functional PBE.

a = 3.8980 Å, b = 3.8980 Å, c = 3.7977 Å
α = 90.00°, β = 90.00°, γ = 90.00°
With the nearest neighbours (Å) after each atom.
Space group P4/mmm (No. 123)
Inequivalent atoms, fractional coordinates:
Li: 0.0000 0.0000 0.0000 [1 per cell]  8 Ni 2.72, 4 Pb 2.76
Ni: 0.0000 0.5000 0.5000 [2 per cell]  4 Pb 2.72, 4 Li 2.72, 4 Ni 2.76
Pb: 0.5000 0.5000 0.0000 [1 per cell]  8 Ni 2.72, 4 Li 2.76

- Calculated total energy: -17.12 eV/cell
- M_tot: 0.0 μB/cell

***

Entry 4:
A relaxed structure of LiNiPb3. Source: Alexandria, functional PBE.

a = 5.1867 Å, b = 5.1867 Å, c = 5.1867 Å
α = 90.00°, β = 90.00°, γ = 90.00°
With the nearest neighbours (Å) after each atom.
Space group Pm-3m (No. 221)
Inequivalent atoms, fractional coordinates:
Li: 0.0000 0.0000 0.0000 [1 per cell]  12 Pb 3.67
Ni: 0.5000 0.5000 0.5000 [1 per cell]  6 Pb 2.59
Pb: 0.0000 0.5000 0.5000 [3 per cell]  2 Ni 2.59

- Excess energy over the best structure of this formula in the dataset: 0 meV/atom
- M_tot: 0.0 μB/cell

***

Entry 5:
A relaxed structure of Li2NiPb. Source: Alexandria, functional PBE.

a = 3.4340 Å, b = 3.4340 Å, c = 5.5599 Å
α = 90.00°, β = 90.00°, γ = 90.00°
With the nearest neighbours (Å) after each atom.
Space group P4/mmm (No. 123)
Inequivalent atoms, fractional coordinates:
Li: 0.0000 0.0000 0.2151 [2 per cell]  1 Li 2.39
Ni: 0.5000 0.5000 0.0000 [1 per cell]  8 Li 2.71, 2 Pb 2.78
Pb: 0.5000 0.5000 0.5000 [1 per cell]  2 Ni 2.78, 8 Li 2.90

- Calculated total energy: -13.37 eV/cell
- M_tot: 0.0 μB/cell

***

Entry 6:
A relaxed structure of Li2Ni2Pb. Source: Alexandria, functional PBE.

a = 6.8465 Å, b = 6.8465 Å, c = 3.0467 Å
α = 90.00°, β = 90.00°, γ = 90.00°
With the nearest neighbours (Å) after each atom.
Space group P4/mbm (No. 127)
Inequivalent atoms, fractional coordinates:
Li: 0.1206 0.3794 0.0000 [4 per cell]  1 Li 2.34, 6 Ni 2.49-2.57
Ni: 0.1758 0.6758 0.5000 [4 per cell]  6 Li 2.49-2.57
Pb: 0.0000 0.0000 0.0000 [2 per cell]  4 Li 2.73, 8 Ni 2.95, 2 Pb 3.05

- Excess energy over the best structure of this formula in the dataset: 107 meV/atom
- M_tot: 0.0 μB/cell

***

Entry 7:
A relaxed structure of LiNi2Pb. Source: Alexandria, functional PBE.

a = 3.9582 Å, b = 3.9582 Å, c = 7.3350 Å
α = 90.00°, β = 90.00°, γ = 90.00°
With the nearest neighbours (Å) after each atom.
Space group I-4m2 (No. 119)
Inequivalent atoms, fractional coordinates:
Li: 0.0000 0.0000 0.0000 [2 per cell]  4 Pb 2.70, 8 Ni 2.70-2.80
Ni: 0.0000 0.0000 0.5000 [2 per cell]  4 Pb 2.70, 4 Ni 2.70, 4 Li 2.80
Ni: 0.0000 0.5000 0.7500 [2 per cell]  4 Li 2.70, 4 Ni 2.70, 4 Pb 2.80
Pb: 0.0000 0.5000 0.2500 [2 per cell]  4 Li 2.70, 8 Ni 2.70-2.80

- Calculated total energy: -34.22 eV/cell
- M_tot: 0.0 μB/cell

***

Entry 8:
A relaxed structure of Li2NiPb. Source: Alexandria, functional PBE.

a = 5.3977 Å, b = 7.9442 Å, c = 3.1414 Å
α = 90.00°, β = 90.00°, γ = 90.00°
With the nearest neighbours (Å) after each atom.
Space group Cmmm (No. 65)
Inequivalent atoms, fractional coordinates:
Li: 0.2500 0.2500 0.0000 [4 per cell]  2 Li 2.70, 4 Pb 2.87, 4 Ni 2.87
Ni: 0.0000 0.0000 0.5000 [2 per cell]  2 Pb 2.70, 8 Li 2.87
Pb: 0.0000 0.5000 0.5000 [2 per cell]  2 Ni 2.70, 8 Li 2.87

- Calculated total energy: -26.58 eV/cell
- M_tot: 0.0 μB/cell

***

Entry 9:
A relaxed structure of LiNi2Pb. Source: Alexandria, functional PBE.

a = 6.1109 Å, b = 6.1109 Å, c = 6.1109 Å
α = 90.00°, β = 90.00°, γ = 90.00°
With the nearest neighbours (Å) after each atom.
Space group F-43m (No. 216)
Inequivalent atoms, fractional coordinates:
Li: 0.0000 0.0000 0.0000 [4 per cell]  4 Pb 2.65, 4 Ni 2.65
Ni: 0.0000 0.0000 0.5000 [4 per cell]  4 Ni 2.65, 4 Pb 2.65
Ni: 0.2500 0.2500 0.2500 [4 per cell]  4 Li 2.65, 4 Ni 2.65
Pb: 0.2500 0.2500 0.7500 [4 per cell]  4 Ni 2.65, 4 Li 2.65

- Calculated total energy: -68.42 eV/cell
- M_tot: 0.0 μB/cell

***

Entry 10:
A relaxed structure of LiNiPb3. Source: Alexandria, functional PBE.

a = 5.0395 Å, b = 5.0395 Å, c = 5.0395 Å
α = 90.00°, β = 90.00°, γ = 90.00°
With the nearest neighbours (Å) after each atom.
Space group Pm-3m (No. 221)
Inequivalent atoms, fractional coordinates:
Li: 0.0000 0.0000 0.0000 [1 per cell]  6 Pb 2.52
Ni: 0.5000 0.5000 0.5000 [1 per cell]  12 Pb 3.56
Pb: 0.0000 0.0000 0.5000 [3 per cell]  2 Li 2.52

- Excess energy over the best structure of this formula in the dataset: 471 meV/atom
- M_tot: 0.0 μB/cell

***

Entry 11:
A relaxed structure of Li2NiPb. Source: Alexandria, functional PBE.

a = 3.2559 Å, b = 3.5690 Å, c = 5.8650 Å
α = 90.00°, β = 90.00°, γ = 90.00°
With the nearest neighbours (Å) after each atom.
Space group Pmm2 (No. 25)
Inequivalent atoms, fractional coordinates:
Li: 0.0000 0.0000 0.0000 [1 per cell]  2 Ni 2.79-3.07, 4 Li 2.81, 4 Pb 2.96
Li: 0.5000 0.5000 0.2452 [1 per cell]  1 Pb 2.71, 4 Ni 2.77, 4 Li 2.81
Ni: 0.0000 0.0000 0.4760 [1 per cell]  6 Li 2.77-3.07, 4 Pb 2.77
Pb: 0.5000 0.5000 0.7072 [1 per cell]  5 Li 2.71-2.96, 4 Ni 2.77

- Calculated total energy: -13.42 eV/cell
- M_tot: 0.0 μB/cell

***

Entry 12:
A relaxed structure of LiNi2Pb. Source: Alexandria, functional PBE.

a = 5.4111 Å, b = 8.6550 Å, c = 2.9911 Å
α = 90.00°, β = 118.75°, γ = 90.00°
With the nearest neighbours (Å) after each atom.
Space group C2/m (No. 12)
Inequivalent atoms, fractional coordinates:
Li: 0.0000 0.0000 0.0000 [2 per cell]  4 Ni 2.61, 4 Pb 2.71-2.91
Ni: 0.2500 0.2500 0.5000 [4 per cell]  2 Pb 2.61, 2 Li 2.61, 4 Ni 2.71-2.91
Pb: 0.0000 0.5000 0.0000 [2 per cell]  4 Ni 2.61, 4 Li 2.71-2.91

- Calculated total energy: -32.58 eV/cell
- M_tot: 0.0 μB/cell

***

Entry 13:
A relaxed structure of LiNiPb2. Source: Alexandria, functional PBE.

a = 4.8124 Å, b = 4.8124 Å, c = 3.4995 Å
α = 90.00°, β = 90.00°, γ = 90.00°
With the nearest neighbours (Å) after each atom.
Space group P4/mmm (No. 123)
Inequivalent atoms, fractional coordinates:
Li: 0.0000 0.0000 0.0000 [1 per cell]  8 Pb 2.98
Ni: 0.5000 0.5000 0.0000 [1 per cell]  8 Pb 2.98
Pb: 0.0000 0.5000 0.5000 [2 per cell]  4 Ni 2.98, 4 Li 2.98

- Calculated total energy: -14.89 eV/cell
- M_tot: 0.0 μB/cell

***

Entry 14:
A relaxed structure of LiNi2Pb. Source: Alexandria, functional PBE.

a = 3.8025 Å, b = 3.8025 Å, c = 17.6179 Å
α = 90.00°, β = 90.00°, γ = 90.00°
With the nearest neighbours (Å) after each atom.
Space group I-42d (No. 122)
Inequivalent atoms, fractional coordinates:
Li: 0.0000 0.0000 0.0000 [4 per cell]  4 Ni 2.52, 4 Pb 2.69
Ni: 0.2059 0.2500 0.1250 [8 per cell]  2 Ni 2.46, 2 Li 2.52, 2 Pb 2.65
Pb: 0.0000 0.0000 0.5000 [4 per cell]  4 Ni 2.65, 4 Li 2.69

- Calculated total energy: -63.83 eV/cell
- M_tot: 0.0 μB/cell

***

Number 1: V 65 Å³/f.u.. Number 2: V 66 Å³/f.u.. Number 3: V 58 Å³/f.u.. Number 4: V 140 Å³/f.u.. Number 5: V 66 Å³/f.u.. Number 6: V 71 Å³/f.u.. Number 7: V 57 Å³/f.u.. Number 8: V 67 Å³/f.u.. Number 9: V 57 Å³/f.u.. Number 10: V 128 Å³/f.u.. Number 11: V 68 Å³/f.u.. Number 12: V 61 Å³/f.u.. Number 13: V 81 Å³/f.u.. Number 14: V 64 Å³/f.u..